Entry 1:
GaNi12B5 | PBE | optimized geometry

Cell lengths 6.7074, 6.7471, 7.5250 Å; angles 90.00, 90.00, 90.00 degrees
Closest atoms and distances in Å follow each position.
Space group Immm (No. 71)
Asymmetric unit:
1 Ga 0.0000 0.0000 0.0000 (multiplicity 2)  12 Ni 2.42-2.59
2 Ni 0.0000 0.1862 0.2755 (multiplicity 8)  2 B 2.02-2.11
3 Ni 0.1875 0.5000 0.3228 (multiplicity 8)  3 B 1.99-2.09
4 Ni 0.2164 0.3176 0.0000 (multiplicity 8)  4 B 2.10-2.27
5 B 0.0000 0.0000 0.5000 (multiplicity 2)  8 Ni 2.11-2.27
6 B 0.0000 0.3509 0.5000 (multiplicity 4)  1 B 2.01, 8 Ni 2.02-2.22
7 B 0.0000 0.5000 0.1177 (multiplicity 4)  1 B 1.77

Calculated values
**Energy**: -6.16 eV per atom
**Crystal system**: orthorhombic


Entry 2:
RbReTe3 | PBE | optimized geometry

Cell lengths 8.9358, 4.1711, 9.1125 Å; angles 90.00, 110.47, 90.00 degrees
Closest atoms and distances in Å follow each position.
Space group P2_1/m (No. 11)
Asymmetric unit:
1 Rb 0.0874 0.2500 0.2650 (multiplicity 2)  8 Te 3.64-4.00
2 Re 0.4502 0.7500 0.8610 (multiplicity 2)  6 Te 2.59-2.78
3 Te 0.2424 0.2500 0.7253 (multiplicity 2)  2 Re 2.78
4 Te 0.3345 0.7500 0.0850 (multiplicity 2)  3 Re 2.59-2.76
5 Te 0.4046 0.7500 0.5500 (multiplicity 2)  1 Re 2.72, 2 Te 3.03

Calculated values
**Energy**: -4.80 eV per atom
**Raw formation energy**: -1.2 eV/f.u.
**Crystal system**: monoclinic


Entry 3:
YEr12Tm6 | PBE | optimized geometry

Cell lengths 11.7099, 11.7099, 15.0892 Å; angles 90.00, 90.00, 120.00 degrees
Closest atoms and distances in Å follow each position.
Space group R-3 (No. 148, hexagonal axes)
Asymmetric unit:
1 Y 0.0000 0.0000 0.0000 (multiplicity 3)  6 Tm 3.42, 6 Er 3.54
2 Er 0.0177 0.8346 0.1915 (multiplicity 18)  4 Er 3.39-3.55, 4 Tm 3.47-3.63, 1 Y 3.54
3 Er 0.0401 0.8508 0.4157 (multiplicity 18)  3 Tm 3.21-3.41, 6 Er 3.25-3.50
4 Tm 0.0096 0.4230 0.6787 (multiplicity 18)  6 Er 3.21-3.56, 1 Y 3.42, 2 Tm 3.44

Calculated values
**Energy**: -4.47 eV per atom
**Crystal system**: trigonal


Entry 4:
Tb2CeY6Ho3 | PBE | optimized geometry

Cell lengths 6.1689, 10.6790, 11.7878 Å; angles 90.00, 100.03, 90.00 degrees
Closest atoms and distances in Å follow each position.
Space group C2/m (No. 12)
Asymmetric unit:
1 Tb 0.0000 0.1666 0.0000 (multiplicity 4)  3 Tb 3.56, 3 Ce 3.56, 6 Y 3.56-3.57
2 Ce 0.0000 0.5000 0.0000 (multiplicity 2)  6 Y 3.56, 6 Tb 3.56
3 Y 0.2477 0.5000 0.7491 (multiplicity 4)  6 Y 3.54-3.57, 3 Ho 3.55-3.56, 1 Ce 3.56, 2 Tb 3.57
4 Y 0.2504 0.1657 0.7494 (multiplicity 8)  6 Y 3.54-3.57, 3 Ho 3.55, 1 Ce 3.56, 2 Tb 3.56-3.57
5 Ho 0.0000 0.0000 0.5000 (multiplicity 2)  6 Y 3.55-3.56, 6 Ho 3.55-3.56
6 Ho 0.0000 0.3326 0.5000 (multiplicity 4)  6 Y 3.55, 6 Ho 3.55-3.57

Calculated values
**Energy**: -5.60 eV per atom
**Crystal system**: monoclinic


Listing density of states at the Fermi level for the structures above in their given order: 8.41; 2.30; 33.22; 20.52 states/eV/f.u..